(1)
This record from the Alexandria database describes an optimized crystal structure of Pm2Al3Cu. The functional is PBE.

a b c (Å): 5.7455 5.7455 7.4514
angles (deg): 129.39 129.39 46.78
Closest atoms and distances in Å follow each position.
Element x y z (fractional)
Pm: 0.0000 0.0000 0.0000  9 Al 3.09-3.37, 3 Cu 3.20-3.42
Pm: 0.0892 0.0892 0.5898  3 Cu 3.12-3.16, 9 Al 3.13-3.41
Al: 0.3799 0.3799 0.1919  3 Al 2.68-2.69, 1 Cu 2.79
Al: 0.6926 0.6926 0.9887  1 Cu 2.58, 2 Al 2.69
Al: 0.7130 0.7130 0.4015  2 Cu 2.59, 1 Al 2.68
Cu: 0.3743 0.3743 0.5610  4 Al 2.58-2.79

As for the density of states at the Fermi level: 3.05 states/eV per cell. Its space-group type is Cm, No. 8. The formation energy is -0.4360 eV/atom. The electronic total energy is -27.4 eV for the cell shown.

=====

(2)
This record from the Alexandria database describes an optimized crystal structure of Pm2Al9Cu3. The functional is PBE.

a b c (Å): 7.5788 7.5788 10.8908
angles (deg): 111.24 111.24 59.59
Closest atoms and distances in Å follow each position.
Element x y z (fractional)
Pm: 0.0839 0.2519 0.2489  11 Al 3.11-3.16, 1 Cu 3.48
Pm: 0.2519 0.0839 0.7489  11 Al 3.11-3.16, 1 Cu 3.48
Pm: 0.7481 0.9161 0.2511  11 Al 3.11-3.16, 1 Cu 3.48
Pm: 0.9161 0.7481 0.7511  11 Al 3.11-3.16, 1 Cu 3.48
Al: 0.0228 0.8535 0.0659  3 Cu 2.57-2.61, 5 Al 2.77-2.88
Al: 0.1465 0.9772 0.4341  3 Cu 2.57-2.61, 5 Al 2.77-2.88
Al: 0.1908 0.3560 0.5640  3 Cu 2.58-2.60, 5 Al 2.78-2.85
Al: 0.2126 0.5841 0.2512  2 Cu 2.65-2.66, 6 Al 2.69-2.93
Al: 0.3165 0.4826 0.9457  3 Cu 2.60, 3 Al 2.71-2.78
Al: 0.3560 0.1908 0.0640  3 Cu 2.58-2.60, 5 Al 2.78-2.85
Al: 0.3741 0.6259 0.7500  2 Cu 2.68, 6 Al 2.70-2.96
Al: 0.4159 0.7874 0.2488  2 Cu 2.65-2.66, 6 Al 2.69-2.93
Al: 0.4826 0.3165 0.4457  3 Cu 2.60, 3 Al 2.71-2.78
Al: 0.5174 0.6835 0.5543  3 Cu 2.60, 3 Al 2.71-2.78
Al: 0.5841 0.2126 0.7512  2 Cu 2.65-2.66, 6 Al 2.69-2.93
Al: 0.6259 0.3741 0.2500  2 Cu 2.68, 6 Al 2.70-2.96
Al: 0.6440 0.8092 0.9360  3 Cu 2.58-2.60, 5 Al 2.78-2.85
Al: 0.6835 0.5174 0.0543  3 Cu 2.60, 3 Al 2.71-2.78
Al: 0.7874 0.4159 0.7488  2 Cu 2.65-2.66, 6 Al 2.69-2.93
Al: 0.8092 0.6440 0.4360  3 Cu 2.58-2.60, 5 Al 2.78-2.85
Al: 0.8535 0.0228 0.5659  3 Cu 2.57-2.61, 5 Al 2.77-2.88
Al: 0.9772 0.1465 0.9341  3 Cu 2.57-2.61, 5 Al 2.77-2.88
Cu: 0.0000 0.5000 0.0000  8 Al 2.58-2.66
Cu: 0.1597 0.6694 0.4978  8 Al 2.57-2.68
Cu: 0.3306 0.8403 0.0022  8 Al 2.57-2.68
Cu: 0.5000 0.0000 0.5000  8 Al 2.58-2.66
Cu: 0.6694 0.1597 0.9978  8 Al 2.57-2.68
Cu: 0.8403 0.3306 0.5022  8 Al 2.57-2.68

As for the density of states at the Fermi level: 10.19 states/eV per cell. Its space-group type is C2/c, No. 15. The formation energy is -0.3054 eV/atom. The electronic total energy is -119.5 eV for the cell shown.

=====

(3)
This record from the Alexandria database describes an optimized crystal structure of PmAlCu3. The functional is PBE.

a b c (Å): 6.5115 6.5115 6.5115
angles (deg): 134.52 97.85 99.34
Closest atoms and distances in Å follow each position.
Element x y z (fractional)
Pm: 0.2943 0.0443 0.2500  11 Cu 3.08-3.44, 4 Al 3.32
Pm: 0.7057 0.9557 0.7500  11 Cu 3.08-3.44, 4 Al 3.32
Al: 0.0000 0.5000 0.5000  6 Cu 2.46-2.56
Al: 0.5000 0.5000 0.0000  6 Cu 2.46-2.56
Cu: 0.0830 0.3330 0.7500  4 Cu 2.49, 2 Al 2.56
Cu: 0.2370 0.0000 0.7370  2 Al 2.46, 4 Cu 2.49-2.52
Cu: 0.2370 0.5000 0.2370  2 Al 2.46, 4 Cu 2.49-2.52
Cu: 0.7630 0.0000 0.2630  2 Al 2.46, 4 Cu 2.49-2.52
Cu: 0.7630 0.5000 0.7630  2 Al 2.46, 4 Cu 2.49-2.52
Cu: 0.9170 0.6670 0.2500  4 Cu 2.49, 2 Al 2.56

As for the density of states at the Fermi level: 5.38 states/eV per cell. Its space-group type is Imma, No. 74. The formation energy is -0.2010 eV/atom. The electronic total energy is -43.6 eV for the cell shown.

=====

(4)
This record from the Alexandria database describes an optimized crystal structure of Pm3Al7Cu4. The functional is PBE.

a b c (Å): 8.1635 8.1635 9.5982
angles (deg): 124.86 124.86 30.17
Closest atoms and distances in Å follow each position.
Element x y z (fractional)
Pm: 0.0000 0.0000 0.0000  6 Cu 3.08-3.18, 6 Al 3.24-3.37
Pm: 0.3105 0.3105 0.3090  4 Cu 3.09, 10 Al 3.09-3.36
Pm: 0.6895 0.6895 0.6910  4 Cu 3.09, 10 Al 3.09-3.36
Al: 0.0000 0.0000 0.5000  2 Cu 2.68, 6 Al 2.95-2.97
Al: 0.1541 0.1541 0.4192  3 Cu 2.53-2.63
Al: 0.3253 0.3253 0.9735  4 Cu 2.55-2.63, 1 Al 2.64
Al: 0.4964 0.4964 0.7120  3 Cu 2.49-2.68, 1 Al 2.64
Al: 0.5036 0.5036 0.2880  3 Cu 2.49-2.68, 1 Al 2.64
Al: 0.6747 0.6747 0.0265  4 Cu 2.55-2.63, 1 Al 2.64
Al: 0.8459 0.8459 0.5808  3 Cu 2.53-2.63
Cu: 0.1250 0.1250 0.8463  6 Al 2.55-2.68
Cu: 0.3410 0.3410 0.7182  5 Al 2.49-2.63
Cu: 0.6590 0.6590 0.2818  5 Al 2.49-2.63
Cu: 0.8750 0.8750 0.1537  6 Al 2.55-2.68

As for the density of states at the Fermi level: 6.04 states/eV per cell. Its space-group type is C2/m, No. 12. The formation energy is -0.4260 eV/atom. The electronic total energy is -62.8 eV for the cell shown.

=====

(5)
This record from the Alexandria database describes an optimized crystal structure of PmAlCu2. The functional is PBE.

a b c (Å): 3.0923 3.0923 7.2305
angles (deg): 90.00 90.00 90.00
Closest atoms and distances in Å follow each position.
Element x y z (fractional)
Pm: 0.0000 0.0000 0.0000  4 Pm 3.09, 8 Cu 3.11
Al: 0.0000 0.0000 0.5000  8 Cu 2.60
Cu: 0.5000 0.5000 0.3060  4 Al 2.60, 1 Cu 2.80
Cu: 0.5000 0.5000 0.6940  4 Al 2.60, 1 Cu 2.80

As for the density of states at the Fermi level: 2.11 states/eV per cell. Its space-group type is P4/mmm, No. 123. The formation energy is -0.1275 eV/atom. The electronic total energy is -17.2 eV for the cell shown.

=====

(6)
This record from the Alexandria database describes an optimized crystal structure of PmAlCu4. The functional is PBE.

a b c (Å): 7.2400 3.8936 7.0315
angles (deg): 90.00 90.00 90.00
Closest atoms and distances in Å follow each position.
Element x y z (fractional)
Pm: 0.2500 0.0000 0.1367  1 Al 2.96, 12 Cu 3.01-3.25
Pm: 0.7500 0.0000 0.8633  1 Al 2.96, 12 Cu 3.01-3.25
Al: 0.2500 0.0000 0.7150  8 Cu 2.36-2.57
Al: 0.7500 0.0000 0.2850  8 Cu 2.36-2.57
Cu: 0.0000 0.0000 0.5000  2 Al 2.36
Cu: 0.0638 0.5000 0.8210  2 Al 2.48, 3 Cu 2.68-2.77
Cu: 0.2500 0.5000 0.4775  2 Al 2.57, 6 Cu 2.66-2.77
Cu: 0.4362 0.5000 0.8210  2 Al 2.48, 3 Cu 2.68-2.77
Cu: 0.5000 0.0000 0.5000  2 Al 2.36
Cu: 0.5638 0.5000 0.1790  2 Al 2.48, 3 Cu 2.68-2.77
Cu: 0.7500 0.5000 0.5225  2 Al 2.57, 6 Cu 2.66-2.77
Cu: 0.9362 0.5000 0.1790  2 Al 2.48, 3 Cu 2.68-2.77

As for the density of states at the Fermi level: 7.54 states/eV per cell. Its space-group type is Pmma, No. 51. The formation energy is -0.0951 eV/atom. The electronic total energy is -50.9 eV for the cell shown.

=====

(7)
This record from the Alexandria database describes an optimized crystal structure of Pm2Al2Cu3. The functional is PBE.

a b c (Å): 4.9325 4.9325 7.9253
angles (deg): 118.49 118.49 57.24
Closest atoms and distances in Å follow each position.
Element x y z (fractional)
Pm: 0.0769 0.0769 0.3217  6 Cu 2.93-3.13, 4 Al 3.10-3.26
Pm: 0.9231 0.9231 0.6783  6 Cu 2.93-3.13, 4 Al 3.10-3.26
Al: 0.3032 0.3032 0.1219  2 Cu 2.47-2.52
Al: 0.6968 0.6968 0.8781  2 Cu 2.47-2.52
Cu: 0.3398 0.3398 0.8337  1 Al 2.47, 1 Cu 2.59
Cu: 0.5000 0.5000 0.5000  2 Al 2.52
Cu: 0.6602 0.6602 0.1663  1 Al 2.47, 1 Cu 2.59

As for the density of states at the Fermi level: 3.64 states/eV per cell. Its space-group type is C2/m, No. 12. The formation energy is -0.2287 eV/atom. The electronic total energy is -30.9 eV for the cell shown.

=====

(8)
This record from the Alexandria database describes an optimized crystal structure of Pm2Al6Cu3. The functional is PBE.

a b c (Å): 7.6862 7.6862 4.0486
angles (deg): 90.00 90.00 120.00
Closest atoms and distances in Å follow each position.
Element x y z (fractional)
Pm: 0.3333 0.6667 0.0000  6 Cu 3.17, 9 Al 3.22-3.35
Pm: 0.6667 0.3333 0.0000  6 Cu 3.17, 9 Al 3.22-3.35
Al: 0.0000 0.1964 0.0000  2 Cu 2.42, 2 Al 2.61
Al: 0.0000 0.6943 0.5000  3 Cu 2.50-2.62
Al: 0.1964 0.0000 0.0000  2 Cu 2.42, 2 Al 2.61
Al: 0.3057 0.3057 0.5000  3 Cu 2.50-2.62
Al: 0.6943 0.0000 0.5000  3 Cu 2.50-2.62
Al: 0.8036 0.8036 0.0000  2 Cu 2.42, 2 Al 2.61
Cu: 0.0000 0.3686 0.5000  5 Al 2.42-2.62
Cu: 0.3686 0.0000 0.5000  5 Al 2.42-2.62
Cu: 0.6314 0.6314 0.5000  5 Al 2.42-2.62

As for the density of states at the Fermi level: 5.54 states/eV per cell. Its space-group type is P-62m, No. 189. The formation energy is -0.3727 eV/atom. The electronic total energy is -48.3 eV for the cell shown.

=====

(9)
This record from the Alexandria database describes an optimized crystal structure of Pm6AlCu. The functional is PBE.

a b c (Å): 9.5476 9.5476 9.5476
angles (deg): 148.60 148.60 45.01
Closest atoms and distances in Å follow each position.
Element x y z (fractional)
Pm: 0.1023 0.6023 0.5000  2 Cu 3.15, 2 Al 3.15
Pm: 0.2471 0.2471 0.0000  12 Pm 3.63-3.71
Pm: 0.3977 0.8977 0.5000  2 Al 3.15, 2 Cu 3.15
Pm: 0.6023 0.1023 0.5000  2 Cu 3.15, 2 Al 3.15
Pm: 0.7529 0.7529 0.0000  12 Pm 3.63-3.71
Pm: 0.8977 0.3977 0.5000  2 Al 3.15, 2 Cu 3.15
Al: 0.0000 0.0000 0.0000  8 Pm 3.15
Cu: 0.5000 0.5000 0.0000  8 Pm 3.15

As for the density of states at the Fermi level: 9.66 states/eV per cell. Its space-group type is I4/mmm, No. 139. The formation energy is -0.0985 eV/atom. The electronic total energy is -37.1 eV for the cell shown.

=====

(10)
This record from the Alexandria database describes an optimized crystal structure of PmAl6Cu3. The functional is PBE.

a b c (Å): 8.9508 4.0450 9.8079
angles (deg): 90.00 97.31 90.00
Closest atoms and distances in Å follow each position.
Element x y z (fractional)
Pm: 0.0196 0.2500 0.2013  8 Al 3.06-3.30, 5 Cu 3.08-3.36
Pm: 0.9804 0.7500 0.7987  8 Al 3.06-3.30, 5 Cu 3.08-3.36
Al: 0.1014 0.7500 0.4668  2 Cu 2.70, 6 Al 2.85-2.93
Al: 0.2037 0.2500 0.9436  4 Cu 2.45-2.70, 2 Al 2.66-2.70
Al: 0.2075 0.2500 0.6730  3 Cu 2.45-2.73, 1 Al 2.66
Al: 0.3656 0.2500 0.2114  4 Cu 2.46-2.68, 3 Al 2.69
Al: 0.4141 0.7500 0.5742  4 Cu 2.54-2.66, 1 Al 2.69
Al: 0.4969 0.2500 0.9041  3 Cu 2.44-2.50, 3 Al 2.69-2.70
Al: 0.5031 0.7500 0.0959  3 Cu 2.44-2.50, 3 Al 2.69-2.70
Al: 0.5859 0.2500 0.4258  4 Cu 2.54-2.66, 1 Al 2.69
Al: 0.6344 0.7500 0.7886  4 Cu 2.46-2.68, 3 Al 2.69
Al: 0.7925 0.7500 0.3270  3 Cu 2.45-2.73, 1 Al 2.66
Al: 0.7963 0.7500 0.0564  4 Cu 2.45-2.70, 2 Al 2.66-2.70
Al: 0.8986 0.2500 0.5332  2 Cu 2.70, 6 Al 2.85-2.93
Cu: 0.2294 0.7500 0.0853  5 Al 2.44-2.59
Cu: 0.2966 0.2500 0.4467  7 Al 2.45-2.70
Cu: 0.3440 0.7500 0.8297  8 Al 2.50-2.73
Cu: 0.6560 0.2500 0.1703  8 Al 2.50-2.73
Cu: 0.7034 0.7500 0.5533  7 Al 2.45-2.70
Cu: 0.7706 0.2500 0.9147  5 Al 2.44-2.59

As for the density of states at the Fermi level: 9.40 states/eV per cell. Its space-group type is P2_1/m, No. 11. The formation energy is -0.1749 eV/atom. The electronic total energy is -82.5 eV for the cell shown.

=====

(11)
This record from the Alexandria database describes an optimized crystal structure of Pm2Al12Cu7. The functional is PBE.

a b c (Å): 10.0411 10.0411 3.9817
angles (deg): 90.00 90.00 120.00
Closest atoms and distances in Å follow each position.
Element x y z (fractional)
Pm: 0.3333 0.6667 0.2601  6 Cu 3.11-3.14, 9 Al 3.27-3.47
Pm: 0.6667 0.3333 0.7399  6 Cu 3.11-3.14, 9 Al 3.27-3.47
Al: 0.0513 0.4339 0.7515  4 Cu 2.49-2.56, 1 Al 2.79
Al: 0.1167 0.2652 0.2545  4 Cu 2.49-2.57, 1 Al 2.79
Al: 0.1484 0.8833 0.2545  4 Cu 2.49-2.57, 1 Al 2.79
Al: 0.2652 0.1484 0.7455  4 Cu 2.49-2.57, 1 Al 2.79
Al: 0.3827 0.9487 0.7515  4 Cu 2.49-2.56, 1 Al 2.79
Al: 0.4339 0.3827 0.2485  4 Cu 2.49-2.56, 1 Al 2.79
Al: 0.5661 0.6173 0.7515  4 Cu 2.49-2.56, 1 Al 2.79
Al: 0.6173 0.0513 0.2485  4 Cu 2.49-2.56, 1 Al 2.79
Al: 0.7348 0.8516 0.2545  4 Cu 2.49-2.57, 1 Al 2.79
Al: 0.8516 0.1167 0.7455  4 Cu 2.49-2.57, 1 Al 2.79
Al: 0.8833 0.7348 0.7455  4 Cu 2.49-2.57, 1 Al 2.79
Al: 0.9487 0.5661 0.2485  4 Cu 2.49-2.56, 1 Al 2.79
Cu: 0.0000 0.0000 0.5000  6 Al 2.51
Cu: 0.1172 0.7087 0.7557  7 Al 2.49-2.57
Cu: 0.2913 0.4085 0.7557  7 Al 2.49-2.57
Cu: 0.4085 0.1172 0.2443  7 Al 2.49-2.57
Cu: 0.5915 0.8828 0.7557  7 Al 2.49-2.57
Cu: 0.7087 0.5915 0.2443  7 Al 2.49-2.57
Cu: 0.8828 0.2913 0.2443  7 Al 2.49-2.57

As for the density of states at the Fermi level: 6.09 states/eV per cell. Its space-group type is P-3, No. 147. The formation energy is -0.3060 eV/atom. The electronic total energy is -89.5 eV for the cell shown.

=====

(12)
This record from the Alexandria database describes an optimized crystal structure of Pm3Al2Cu2. The functional is PBE.

a b c (Å): 10.2283 10.2283 10.2283
angles (deg): 159.24 154.60 33.03
Closest atoms and distances in Å follow each position.
Element x y z (fractional)
Pm: 0.0000 0.0000 0.0000  8 Cu 3.18, 4 Al 3.21
Pm: 0.3097 0.8097 0.5000  2 Cu 3.07, 4 Al 3.11
Pm: 0.6903 0.1903 0.5000  2 Cu 3.07, 4 Al 3.11
Al: 0.1340 0.6340 0.5000  2 Cu 2.62
Al: 0.8660 0.3660 0.5000  2 Cu 2.62
Cu: 0.4349 0.4349 0.0000  1 Cu 2.55, 2 Al 2.62
Cu: 0.5651 0.5651 0.0000  1 Cu 2.55, 2 Al 2.62

As for the density of states at the Fermi level: 6.93 states/eV per cell. Its space-group type is Immm, No. 71. The formation energy is -0.2769 eV/atom. The electronic total energy is -31.9 eV for the cell shown.

=====

Repeat the tenth record exactly.
This record from the Alexandria database describes an optimized crystal structure of PmAl6Cu3. The functional is PBE.

a b c (Å): 8.9508 4.0450 9.8079
angles (deg): 90.00 97.31 90.00
Closest atoms and distances in Å follow each position.
Element x y z (fractional)
Pm: 0.0196 0.2500 0.2013  8 Al 3.06-3.30, 5 Cu 3.08-3.36
Pm: 0.9804 0.7500 0.7987  8 Al 3.06-3.30, 5 Cu 3.08-3.36
Al: 0.1014 0.7500 0.4668  2 Cu 2.70, 6 Al 2.85-2.93
Al: 0.2037 0.2500 0.9436  4 Cu 2.45-2.70, 2 Al 2.66-2.70
Al: 0.2075 0.2500 0.6730  3 Cu 2.45-2.73, 1 Al 2.66
Al: 0.3656 0.2500 0.2114  4 Cu 2.46-2.68, 3 Al 2.69
Al: 0.4141 0.7500 0.5742  4 Cu 2.54-2.66, 1 Al 2.69
Al: 0.4969 0.2500 0.9041  3 Cu 2.44-2.50, 3 Al 2.69-2.70
Al: 0.5031 0.7500 0.0959  3 Cu 2.44-2.50, 3 Al 2.69-2.70
Al: 0.5859 0.2500 0.4258  4 Cu 2.54-2.66, 1 Al 2.69
Al: 0.6344 0.7500 0.7886  4 Cu 2.46-2.68, 3 Al 2.69
Al: 0.7925 0.7500 0.3270  3 Cu 2.45-2.73, 1 Al 2.66
Al: 0.7963 0.7500 0.0564  4 Cu 2.45-2.70, 2 Al 2.66-2.70
Al: 0.8986 0.2500 0.5332  2 Cu 2.70, 6 Al 2.85-2.93
Cu: 0.2294 0.7500 0.0853  5 Al 2.44-2.59
Cu: 0.2966 0.2500 0.4467  7 Al 2.45-2.70
Cu: 0.3440 0.7500 0.8297  8 Al 2.50-2.73
Cu: 0.6560 0.2500 0.1703  8 Al 2.50-2.73
Cu: 0.7034 0.7500 0.5533  7 Al 2.45-2.70
Cu: 0.7706 0.2500 0.9147  5 Al 2.44-2.59

As for the density of states at the Fermi level: 9.40 states/eV per cell. Its space-group type is P2_1/m, No. 11. The formation energy is -0.1749 eV/atom. The electronic total energy is -82.5 eV for the cell shown.

=====

Look up the electronic total energy of the eleventh one.
-89.5 eV for the cell shown

=====

Which value of electronic total energy does entry 9 give?
-37.1 eV for the cell shown

=====

The highest electronic total energy belongs to which entry?
PmAlCu2